First-principles (PBE) data for a geometry-optimized SiSbRh2 structure, as listed in Alexandria via LeMat-Bulk.

## Properties
* SG: R-3m
* formation energy (no corrections): -0.345 eV/atom
* energy relative to the lowest polymorph listed for this composition: 150 meV/atom

abc: 8.027 8.027 8.027
angles: 22.21 22.21 22.21
Sites, in units of the cell vectors:
1 Rh 0.489 0.489 0.489
2 Rh 0.011 0.011 0.011
3 Sb 0.250 0.250 0.250
4 Si 0.750 0.750 0.750


First-principles (PBE) data for a geometry-optimized SrHf3Al structure, as listed in Alexandria via LeMat-Bulk.

## Properties
* SG: Pm-3m
* energy relative to the lowest polymorph listed for this composition: 1345 meV/atom
* formation energy: 2.0945 eV per atom

abc: 5.084 5.084 5.084
angles: 90.00 90.00 90.00
Sites, in units of the cell vectors:
1 Hf 0.000 0.500 0.000
2 Hf 0.500 0.000 0.000
3 Hf 0.000 0.000 0.500
4 Sr 0.000 0.000 0.000
5 Al 0.500 0.500 0.500


First-principles (PBE) data for a geometry-optimized Cs4Pb structure, as listed in Alexandria via LeMat-Bulk.

## Properties
* SG: Ibam
* formation energy: -0.0330 eV per atom

abc: 8.779 10.010 11.773
angles: 115.16 111.89 90.00
Sites, in units of the cell vectors:
1 Cs 0.657 0.018 0.314
2 Cs 0.343 0.982 0.686
3 Cs 0.074 0.776 0.148
4 Cs 0.426 0.629 0.852
5 Cs 0.574 0.371 0.148
6 Cs 0.157 0.297 0.314
7 Cs 0.843 0.703 0.686
8 Cs 0.926 0.224 0.852
9 Pb 0.250 0.000 0.000
10 Pb 0.750 0.000 0.000


Record-wise total energy values, in eV per atom: -6.407, -4.962, -1.458